1.
DFT (GGA-PBE) results for a relaxed TaTlInGe2 crystal.

Cell: 5.072 5.518 5.072 Å, 90.00 90.00 90.00°
Positions (direct):
Tl (0.000, 0.500, 0.000)
In (0.500, 0.500, 0.500)
Ge (0.000, 0.000, 0.500)
Ge (0.500, 0.000, 0.000)
Ta (0.000, 0.000, 0.000)



2.
DFT (GGA-PBE) results for a relaxed Tb2InGe2 crystal.

Computed properties:
energy above the lowest structure with this stoichiometry	0	meV per atom

Cell: 7.449 7.449 4.196 Å, 90.00 90.00 90.00°
Positions (direct):
Tb (0.321, 0.821, 0.500)
Tb (0.679, 0.179, 0.500)
Tb (0.179, 0.321, 0.500)
Tb (0.821, 0.679, 0.500)
In (0.000, 0.000, 0.000)
In (0.500, 0.500, 0.000)
Ge (0.621, 0.879, 0.000)
Ge (0.379, 0.121, 0.000)
Ge (0.879, 0.379, 0.000)
Ge (0.121, 0.621, 0.000)



no.,size of the total moment (μB/atom),DOS at the Fermi energy (states/eV/atom),ΔE_f (kJ/mol of formula units)
1,0.000,0.39,189.2
2,0.000,0.55,-345.4